A geometry-optimized Ce2HoTmP4 structure. Source: the Alexandria database, functional PBE.

Electronic total energy = -6.87 eV/atom
Energy relative to the elements = -1.55 eV per atom
Spin magnetization = 1.0 μB per cell
Density = 6.64 g cm⁻³

Cell lengths 6.959, 4.031, 6.982 Å; angles 90.00, 109.53, 90.00 degrees
Space group P2/m (No. 10)
Unique sites:
Ce (0.000, 0.000, 0.000) (multiplicity 1)
Ce (0.000, 0.500, 0.500) (multiplicity 1)
Ho (0.500, 0.000, 0.500) (multiplicity 1)
Tm (0.500, 0.500, 0.000) (multiplicity 1)
P (0.255, 0.500, 0.251) (multiplicity 2)
P (0.256, 0.000, 0.753) (multiplicity 2)

***

A geometry-optimized Sr6LiMg3 structure. Source: the Alexandria database, functional PBE.

Electronic total energy = -1.68 eV/atom
Energy relative to the elements = 0.00 eV per atom
Spin magnetization = 0.0 μB per cell
Density = 2.50 g cm⁻³

Cell lengths 10.485, 6.141, 13.095 Å; angles 90.00, 107.23, 90.00 degrees
Space group P2_1/m (No. 11)
Unique sites:
Sr (0.028, 0.250, 0.410) (multiplicity 2)
Sr (0.140, 0.750, 0.177) (multiplicity 2)
Sr (0.249, 0.250, 0.993) (multiplicity 2)
Sr (0.335, 0.750, 0.805) (multiplicity 2)
Sr (0.352, 0.250, 0.316) (multiplicity 2)
Sr (0.412, 0.250, 0.619) (multiplicity 2)
Li (0.445, 0.750, 0.100) (multiplicity 2)
Mg (0.039, 0.750, 0.883) (multiplicity 2)
Mg (0.123, 0.250, 0.710) (multiplicity 2)
Mg (0.269, 0.750, 0.476) (multiplicity 2)

***

A geometry-optimized SmIn2Au6 structure. Source: the Alexandria database, functional PBE.

Electronic total energy = -3.65 eV/atom
Energy relative to the elements = -0.34 eV per atom
Spin magnetization = 0.0 μB per cell
Energy above the lowest structure with this stoichiometry = 0.82 kJ per mole of atoms
Density = 13.25 g cm⁻³

Cell lengths 3.508, 8.154, 13.682 Å; angles 90.00, 90.00, 90.00 degrees
Space group Immm (No. 71)
Unique sites:
Sm (0.000, 0.000, 0.000) (multiplicity 2)
In (0.000, 0.500, 0.144) (multiplicity 4)
Au (0.000, 0.174, 0.500) (multiplicity 4)
Au (0.000, 0.329, 0.324) (multiplicity 8)

***

A geometry-optimized Li3Pu3AgS8 structure. Source: the Alexandria database, functional PBE.

Electronic total energy = -6.86 eV/atom
Spin magnetization = 36.0 μB per cell
E_form (uncorrected) = -1.222 eV/atom
Density = 5.85 g cm⁻³

Cell lengths 7.7453, 7.7453, 18.3140 Å; angles 90.00, 90.00, 120.00 degrees
Space group R-3m (No. 166, hexagonal axes)
Unique sites:
Li (0.0000, 0.5000, 0.0000) (multiplicity 9)
Pu (0.0000, 0.5000, 0.5000) (multiplicity 9)
Ag (0.0000, 0.0000, 0.5000) (multiplicity 3)
S (0.0000, 0.0000, 0.2516) (multiplicity 6)
S (0.0072, 0.5036, 0.7516) (multiplicity 18)

***

A geometry-optimized CaThGaHg structure. Source: the Alexandria database, functional PBE.

Electronic total energy = -3.54 eV/atom
Energy relative to the elements = -0.36 eV per atom
Spin magnetization = 0.0 μB per cell
Density = 8.52 g cm⁻³

Cell lengths 7.507, 7.507, 7.507 Å; angles 90.00, 90.00, 90.00 degrees
Space group F-43m (No. 216)
Unique sites:
Ca (0.000, 0.000, 0.000) (multiplicity 4)
Th (0.000, 0.000, 0.500) (multiplicity 4)
Ga (0.250, 0.250, 0.750) (multiplicity 4)
Hg (0.250, 0.250, 0.250) (multiplicity 4)